1.
{"formula": "NaZn3", "functional": "GGA-PBE", "state": "optimized geometry", "cell": [[-2.7624, 4.1335, 2.1198], [-2.5850, -3.7369, -2.9262], [1.2805, -6.1313, 6.7237]], "species": ["Na", "Na", "Na", "Zn", "Zn", "Zn", "Zn", "Zn", "Zn", "Zn", "Zn", "Zn"], "fractional_positions": [[0.2879, 0.1437, 0.4316], [0.7121, 0.8563, 0.5684], [0.0000, 0.0000, 0.0000], [0.6646, 0.0805, 0.2485], [0.1680, 0.5839, 0.2485], [0.6651, 0.5845, 0.2495], [0.0000, 0.5000, 0.5000], [0.3324, 0.6663, 0.9988], [0.6676, 0.3337, 0.0012], [0.8320, 0.4161, 0.7515], [0.3354, 0.9195, 0.7515], [0.3349, 0.4155, 0.7505]], "dos_at_fermi_per_ev_fu": 1.2, "vol_a3_per_cell": 219.06, "ef_mev_per_atom": -34, "dft_energy_ev_per_atom": -1.3190}


2.
{"formula": "Na2Zn", "functional": "GGA-PBE", "state": "optimized geometry", "cell": [[-1.8742, -0.9435, -5.9459], [-5.7835, -2.2237, -1.1673], [-4.3649, 3.7591, -2.5638]], "species": ["Na", "Na", "Na", "Na", "Zn", "Zn"], "fractional_positions": [[0.1250, 0.6250, 0.6250], [0.6250, 0.1250, 0.6250], [0.6250, 0.6250, 0.6250], [0.6250, 0.6250, 0.1250], [0.0000, 0.0000, 0.0000], [0.2500, 0.2500, 0.2500]], "dos_at_fermi_per_ev_fu": 2.5, "vol_a3_per_cell": 177.25, "ef_mev_per_atom": 276, "dft_energy_ev_per_atom": -1.0282, "relative_energy_mev_per_atom": 188}